(1)
## Tb5Ge2C (PBE)

Data for crystalline Tb5Ge2C at its relaxed geometry.

Values from the calculation:
ΔE_f, eV per atom: -0.3023

a b c (Å): 5.608 6.687 13.066
angles (deg): 90.00 90.00 114.79
Atoms (fractional coordinates):
Tb (0.944, 0.888, 0.876)
Tb (0.944, 0.888, 0.624)
Tb (0.337, 0.674, 0.393)
Tb (0.337, 0.674, 0.107)
Tb (0.700, 0.401, 0.250)
Tb (0.300, 0.599, 0.750)
Tb (0.663, 0.326, 0.607)
Tb (0.663, 0.326, 0.893)
Tb (0.056, 0.112, 0.124)
Tb (0.056, 0.112, 0.376)
Ge (0.825, 0.651, 0.433)
Ge (0.825, 0.651, 0.067)
Ge (0.175, 0.349, 0.567)
Ge (0.175, 0.349, 0.933)
C (0.798, 0.596, 0.750)
C (0.202, 0.404, 0.250)

***

(2)
## Tb6Ge2C (PBE)

Data for crystalline Tb6Ge2C at its relaxed geometry.

Values from the calculation:
Polymorph energy (0 for the lowest one), eV/atom: 0.000
ΔE_f, eV per atom: -0.5204

a b c (Å): 6.268 7.772 9.410
angles (deg): 90.00 88.69 90.00
Atoms (fractional coordinates):
Tb (0.116, 0.033, 0.251)
Tb (0.143, 0.295, 0.554)
Tb (0.172, 0.338, 0.944)
Tb (0.328, 0.838, 0.556)
Tb (0.357, 0.795, 0.946)
Tb (0.384, 0.533, 0.249)
Tb (0.884, 0.967, 0.749)
Tb (0.857, 0.705, 0.446)
Tb (0.828, 0.662, 0.056)
Tb (0.672, 0.162, 0.444)
Tb (0.643, 0.205, 0.054)
Tb (0.616, 0.467, 0.751)
Ge (0.067, 0.613, 0.743)
Ge (0.433, 0.113, 0.757)
Ge (0.567, 0.887, 0.243)
Ge (0.933, 0.387, 0.257)
C (0.500, 0.500, 0.000)
C (0.000, 0.000, 0.500)

***

(3)
## Tb6Ge3C (PBE)

Data for crystalline Tb6Ge3C at its relaxed geometry.

Values from the calculation:
ΔE_f, eV per atom: -0.5236

a b c (Å): 8.164 8.164 8.164
angles (deg): 97.11 97.11 97.11
Atoms (fractional coordinates):
Tb (0.303, 0.962, 0.074)
Tb (0.038, 0.926, 0.697)
Tb (0.572, 0.793, 0.446)
Tb (0.926, 0.697, 0.038)
Tb (0.446, 0.572, 0.793)
Tb (0.207, 0.554, 0.428)
Tb (0.793, 0.446, 0.572)
Tb (0.554, 0.428, 0.207)
Tb (0.074, 0.303, 0.962)
Tb (0.428, 0.207, 0.554)
Tb (0.962, 0.074, 0.303)
Tb (0.697, 0.038, 0.926)
Ge (0.387, 0.894, 0.717)
Ge (0.894, 0.717, 0.387)
Ge (0.283, 0.613, 0.106)
Ge (0.717, 0.387, 0.894)
Ge (0.106, 0.283, 0.613)
Ge (0.613, 0.106, 0.283)
C (0.000, 0.000, 0.000)
C (0.500, 0.500, 0.500)

***

(4)
## Tb4Ge2C (PBE)

Data for crystalline Tb4Ge2C at its relaxed geometry.

Values from the calculation:
Polymorph energy (0 for the lowest one), eV/atom: 0.000
ΔE_f, eV per atom: -0.6272

a b c (Å): 6.619 6.916 8.168
angles (deg): 90.00 113.90 90.00
Atoms (fractional coordinates):
Ge (0.635, 0.024, 0.271)
Ge (0.365, 0.976, 0.729)
Ge (0.865, 0.524, 0.729)
Ge (0.135, 0.476, 0.271)
Tb (0.830, 0.945, 0.661)
Tb (0.170, 0.055, 0.339)
Tb (0.670, 0.445, 0.339)
Tb (0.330, 0.555, 0.661)
Tb (0.735, 0.250, 0.970)
Tb (0.765, 0.750, 0.030)
Tb (0.235, 0.250, 0.970)
Tb (0.265, 0.750, 0.030)
C (0.000, 0.000, 0.000)
C (0.500, 0.500, 0.000)

***

(5)
## TbTc2GeC (PBE)

Data for crystalline TbTc2GeC at its relaxed geometry.

Values from the calculation:
ΔE_f, eV per atom: -0.3918

a b c (Å): 3.937 5.845 7.475
angles (deg): 90.00 90.00 109.68
Atoms (fractional coordinates):
Tb (0.458, 0.915, 0.750)
Tb (0.542, 0.085, 0.250)
Tc (0.170, 0.340, 0.942)
Tc (0.830, 0.660, 0.058)
Tc (0.170, 0.340, 0.558)
Tc (0.830, 0.660, 0.442)
Ge (0.734, 0.468, 0.750)
Ge (0.266, 0.532, 0.250)
C (0.000, 0.000, 0.000)
C (0.000, 0.000, 0.500)

***

(6)
## TbTc2Ge2C (PBE)

Data for crystalline TbTc2Ge2C at its relaxed geometry.

Values from the calculation:
ΔE_f, eV per atom: -0.3509

a b c (Å): 4.183 4.183 5.427
angles (deg): 90.00 90.00 90.00
Atoms (fractional coordinates):
Tb (0.000, 0.000, 0.500)
Tc (0.500, 0.000, 0.000)
Tc (0.000, 0.500, 0.000)
Ge (0.500, 0.500, 0.722)
Ge (0.500, 0.500, 0.278)
C (0.000, 0.000, 0.000)

***

(7)
## Tb8Ge3Te4C (PBE)

Data for crystalline Tb8Ge3Te4C at its relaxed geometry.

Values from the calculation:
Formation energy without anion corrections, meV/atom: -1076

a b c (Å): 8.333 8.577 8.333
angles (deg): 119.07 120.00 90.00
Atoms (fractional coordinates):
Tb (0.224, 0.707, 0.983)
Tb (0.224, 0.707, 0.449)
Tb (0.259, 0.276, 0.517)
Tb (0.759, 0.707, 0.983)
Tb (0.241, 0.293, 0.017)
Tb (0.741, 0.724, 0.483)
Tb (0.776, 0.293, 0.551)
Tb (0.776, 0.293, 0.017)
Ge (0.500, 0.500, 0.000)
Ge (0.500, 0.500, 0.500)
Ge (0.000, 0.500, 0.500)
Te (0.500, 0.000, 0.000)
Te (0.500, 0.000, 0.500)
Te (0.000, 0.000, 0.000)
Te (0.000, 0.000, 0.500)
C (0.000, 0.500, 0.000)

***

(8)
## TcGe2C (PBE)

Data for crystalline TcGe2C at its relaxed geometry.

Values from the calculation:
ΔE_f, eV per atom: 0.8549

a b c (Å): 6.155 6.155 5.223
angles (deg): 53.90 53.90 90.00
Atoms (fractional coordinates):
C (0.500, 0.500, 0.000)
C (0.250, 0.750, 0.500)
Ge (0.553, 0.125, 0.250)
Ge (0.197, 0.625, 0.250)
Ge (0.375, 0.447, 0.750)
Ge (0.875, 0.803, 0.750)
Tc (0.000, 0.000, 0.000)
Tc (0.750, 0.250, 0.500)